1.
Computed, not measured: a geometry-optimized TaCoHRu2 structure at the GGA-PBE level of DFT.

The calculated total energy is -41.44 eV per cell. The value obtained for the size of the total moment is 0.00 μB per atom. The distance to the lowest polymorph of the same formula is 120 meV per atom. The calculation puts the density of states at the Fermi level at 3.56 states/eV/cell.

It has space group P4/mmm (No. 123), with a = 3.833 Å, b = 3.833 Å, c = 3.977 Å, α = 90.00°, β = 90.00° and γ = 90.00°. The distinct sites, in fractional coordinates, are Ta at (0.000, 0.000, 0.000), Co at (0.500, 0.500, 0.000), H at (0.000, 0.000, 0.500) and Ru at (0.000, 0.500, 0.500).


2.
Computed, not measured: a geometry-optimized ErPbAu structure at the GGA-PBE level of DFT.

The calculated total energy is -26.16 eV per cell. For the formation enthalpy at 0 K, the calculation gives -1.53 eV per formula unit. The value obtained for the size of the total moment is 0.00 μB per atom. The calculation puts the density of states at the Fermi level at 2.47 states/eV/cell.

It has space group I4mm (No. 107), with a = 3.576 Å, b = 3.576 Å, c = 11.863 Å, α = 90.00°, β = 90.00° and γ = 90.00°. The distinct sites, in fractional coordinates, are Er at (0.000, 0.000, 0.000), Pb at (0.000, 0.000, 0.700) and Au at (0.000, 0.000, 0.374).


3.
Computed, not measured: a geometry-optimized MnCo3 structure at the GGA-PBE level of DFT.

The calculated total energy is -60.67 eV per cell. For the formation enthalpy at 0 K, the calculation gives 0.15 eV per formula unit. The value obtained for the size of the total moment is 0.01 μB per atom. The calculation puts the density of states at the Fermi level at 9.01 states/eV/cell.

It has space group P6_3/mmc (No. 194), with a = 4.9926 Å, b = 4.9926 Å, c = 4.0059 Å, α = 90.00°, β = 90.00° and γ = 120.00°. The distinct sites, in fractional coordinates, are Mn at (0.3333, 0.6667, 0.2500) and Co at (0.1652, 0.3303, 0.7500).


4.
Computed, not measured: a geometry-optimized Pm2CdSe structure at the GGA-PBE level of DFT.

The calculated total energy is -53.05 eV per cell. The value obtained for the size of the total moment is 0.00 μB per atom. The distance to the lowest polymorph of the same formula is 69 meV per atom. The calculation puts the density of states at the Fermi level at 8.72 states/eV/cell.

It has space group R3m (No. 160, hexagonal axes), with a = 4.0445 Å, b = 4.0445 Å, c = 24.5218 Å, α = 90.00°, β = 90.00° and γ = 120.00°. The distinct sites, in fractional coordinates, are Pm at (0.0000, 0.0000, 0.0000), Pm at (0.0000, 0.0000, 0.1893), Cd at (0.0000, 0.0000, 0.4281) and Se at (0.0000, 0.0000, 0.5961).


5.
Computed, not measured: a geometry-optimized AcCe2Lu structure at the GGA-PBE level of DFT.

The calculated total energy is -19.90 eV per cell. For the formation enthalpy at 0 K, the calculation gives 0.60 eV per formula unit. The value obtained for the size of the total moment is 0.50 μB per atom. The distance to the lowest polymorph of the same formula is 0 meV per atom. The calculation puts the density of states at the Fermi level at 10.35 states/eV/cell.

It has space group P4/mmm (No. 123), with a = 5.019 Å, b = 5.019 Å, c = 5.207 Å, α = 90.00°, β = 90.00° and γ = 90.00°. The distinct sites, in fractional coordinates, are Ac at (0.000, 0.000, 0.000), Ce at (0.000, 0.500, 0.500) and Lu at (0.500, 0.500, 0.000).


6.
Computed, not measured: a geometry-optimized LaCdGa2Pt5 structure at the GGA-PBE level of DFT.

The calculated total energy is -47.49 eV per cell. For the formation enthalpy at 0 K, the calculation gives -5.39 eV per formula unit. The value obtained for the size of the total moment is 0.00 μB per atom. The calculation puts the density of states at the Fermi level at 2.86 states/eV/cell.

It has space group P4/mmm (No. 123), with a = 4.187 Å, b = 4.187 Å, c = 9.591 Å, α = 90.00°, β = 90.00° and γ = 90.00°. The distinct sites, in fractional coordinates, are La at (0.000, 0.000, 0.000), Cd at (0.000, 0.000, 0.500), Ga at (0.500, 0.500, 0.373), Pt at (0.000, 0.500, 0.231) and Pt at (0.500, 0.500, 0.000).


7.
Computed, not measured: a geometry-optimized Si3NiMo structure at the GGA-PBE level of DFT.

The calculated total energy is -28.23 eV per cell. The value obtained for the size of the total moment is 0.00 μB per atom. The distance to the lowest polymorph of the same formula is 122 meV per atom. The calculation puts the density of states at the Fermi level at 4.11 states/eV/cell.

It has space group Pm-3m (No. 221), with a = 4.665 Å, b = 4.665 Å, c = 4.665 Å, α = 90.00°, β = 90.00° and γ = 90.00°. The distinct sites, in fractional coordinates, are Si at (0.000, 0.000, 0.500), Ni at (0.500, 0.500, 0.500) and Mo at (0.000, 0.000, 0.000).


8.
Computed, not measured: a geometry-optimized LuGa2Ge structure at the GGA-PBE level of DFT.

The calculated total energy is -16.25 eV per cell. For the formation enthalpy at 0 K, the calculation gives -1.05 eV per formula unit. The value obtained for the size of the total moment is 0.00 μB per atom. The distance to the lowest polymorph of the same formula is 190 meV per atom. The calculation puts the density of states at the Fermi level at 1.75 states/eV/cell.

It has space group P4/mmm (No. 123), with a = 3.547 Å, b = 3.547 Å, c = 6.272 Å, α = 90.00°, β = 90.00° and γ = 90.00°. The distinct sites, in fractional coordinates, are Lu at (0.000, 0.000, 0.000), Ga at (0.500, 0.500, 0.285) and Ge at (0.000, 0.000, 0.500).


9.
Computed, not measured: a geometry-optimized NaTl2Zn structure at the GGA-PBE level of DFT.

The calculated total energy is -7.36 eV per cell. For the formation enthalpy at 0 K, the calculation gives -0.04 eV per formula unit. The value obtained for the size of the total moment is 0.00 μB per atom. The calculation puts the density of states at the Fermi level at 1.01 states/eV/cell.

It has space group P4/mmm (No. 123), with a = 3.535 Å, b = 3.535 Å, c = 8.234 Å, α = 90.00°, β = 90.00° and γ = 90.00°. The distinct sites, in fractional coordinates, are Na at (0.000, 0.000, 0.000), Tl at (0.500, 0.500, 0.283) and Zn at (0.000, 0.000, 0.500).


10.
Computed, not measured: a geometry-optimized EuInAg structure at the GGA-PBE level of DFT.

The calculated total energy is -66.28 eV per cell. For the formation enthalpy at 0 K, the calculation gives -0.71 eV per formula unit. The value obtained for the size of the total moment is 2.46 μB per atom. The calculation puts the density of states at the Fermi level at 36.58 states/eV/cell.

It has space group F-43m (No. 216), with a = 7.064 Å, b = 7.064 Å, c = 7.064 Å, α = 90.00°, β = 90.00° and γ = 90.00°. The distinct sites, in fractional coordinates, are Eu at (0.000, 0.000, 0.000), In at (0.000, 0.000, 0.500) and Ag at (0.250, 0.250, 0.750).


11.
Computed, not measured: a geometry-optimized Ac2SnGeAu6 structure at the GGA-PBE level of DFT.

The calculated total energy is -83.20 eV per cell. For the formation enthalpy at 0 K, the calculation gives -5.10 eV per formula unit. The value obtained for the size of the total moment is 0.00 μB per atom. The calculation puts the density of states at the Fermi level at 8.13 states/eV/cell.

It has space group C2/m (No. 12), with a = 13.295 Å, b = 5.578 Å, c = 9.321 Å, α = 90.00°, β = 133.77° and γ = 90.00°. The distinct sites, in fractional coordinates, are Ac at (0.247, 0.000, 0.223), Sn at (0.000, 0.000, 0.500), Ge at (0.000, 0.500, 0.000), Au at (0.027, 0.251, 0.785) and Au at (0.245, 0.500, 0.405).


12.
Computed, not measured: a geometry-optimized NdDy2Tm structure at the GGA-PBE level of DFT.

The calculated total energy is -18.35 eV per cell. For the formation enthalpy at 0 K, the calculation gives 0.09 eV per formula unit. The value obtained for the size of the total moment is 0.00 μB per atom. The distance to the lowest polymorph of the same formula is 3 meV per atom. The calculation puts the density of states at the Fermi level at 5.88 states/eV/cell.

It has space group P4/mmm (No. 123), with a = 5.030 Å, b = 5.030 Å, c = 5.052 Å, α = 90.00°, β = 90.00° and γ = 90.00°. The distinct sites, in fractional coordinates, are Nd at (0.000, 0.000, 0.000), Dy at (0.000, 0.500, 0.500) and Tm at (0.500, 0.500, 0.000).


13.
Computed, not measured: a geometry-optimized FeCu2Ir structure at the GGA-PBE level of DFT.

The calculated total energy is -25.23 eV per cell. For the formation enthalpy at 0 K, the calculation gives 0.29 eV per formula unit. The value obtained for the size of the total moment is 0.78 μB per atom. The distance to the lowest polymorph of the same formula is 3 meV per atom. The calculation puts the density of states at the Fermi level at 3.68 states/eV/cell.

It has space group Pm (No. 6), with a = 2.653 Å, b = 3.648 Å, c = 5.280 Å, α = 90.00°, β = 90.25° and γ = 90.00°. The distinct sites, in fractional coordinates, are Fe at (0.000, 0.000, 0.000), Cu at (0.002, 0.000, 0.508), Cu at (0.501, 0.500, 0.738) and Ir at (0.501, 0.500, 0.236).


14.
Computed, not measured: a geometry-optimized RbHoCuBr6 structure at the GGA-PBE level of DFT.

The calculated total energy is -31.43 eV per cell. The value obtained for the size of the total moment is 0.11 μB per atom. The calculation puts the density of states at the Fermi level at 0.17 states/eV/cell.

It has space group P1 (No. 1), with a = 6.849 Å, b = 6.995 Å, c = 7.683 Å, α = 92.53°, β = 95.28° and γ = 113.36°. The distinct sites, in fractional coordinates, are Rb at (0.000, 0.000, 0.000), Ho at (0.373, 0.665, 0.511), Cu at (0.740, 0.340, 0.470), Br at (0.033, 0.610, 0.265), Br at (0.052, 0.332, 0.655), Br at (0.418, 0.944, 0.780), Br at (0.450, 0.376, 0.277), Br at (0.653, 0.985, 0.327) and Br at (0.683, 0.561, 0.705).